Here is a relaxed structure of RbCoAgO3 from OQMD via LeMat-Bulk. Energies are from PBE with a Hubbard U.

a = 11.9841 Å, b = 3.0394 Å, c = 10.1025 Å
α = 90.00°, β = 90.00°, γ = 90.00°
Last column: nearest neighbours and their distance in Å.
Positions (direct):
Rb: 0.2378 0.2500 0.1350  5 O 2.64-2.91
Rb: 0.2622 0.7500 0.6350  5 O 2.64-2.91
Rb: 0.7378 0.2500 0.3650  5 O 2.64-2.91
Rb: 0.7622 0.7500 0.8650  5 O 2.64-2.91
Co: 0.0196 0.2500 0.3800  6 O 1.84-1.98
Co: 0.4804 0.7500 0.8800  6 O 1.84-1.98
Co: 0.5196 0.2500 0.1200  6 O 1.84-1.98
Co: 0.9804 0.7500 0.6200  6 O 1.84-1.98
Ag: 0.0284 0.2500 0.9005  2 O 2.11
Ag: 0.4716 0.7500 0.4005  2 O 2.11
Ag: 0.5284 0.2500 0.5995  2 O 2.11
Ag: 0.9716 0.7500 0.0995  2 O 2.11
O: 0.0700 0.2500 0.5544  3 Co 1.86-1.98
O: 0.0719 0.7500 0.7658  1 Co 1.84
O: 0.1075 0.7500 0.3256  2 Co 1.93
O: 0.3925 0.2500 0.8256  2 Co 1.93
O: 0.4281 0.2500 0.2658  1 Co 1.84
O: 0.4300 0.7500 0.0544  3 Co 1.86-1.98
O: 0.5700 0.2500 0.9456  3 Co 1.86-1.98
O: 0.5719 0.7500 0.7342  1 Co 1.84
O: 0.6075 0.7500 0.1744  2 Co 1.93
O: 0.8925 0.2500 0.6744  2 Co 1.93
O: 0.9281 0.2500 0.2342  1 Co 1.84
O: 0.9300 0.7500 0.4456  3 Co 1.86-1.98

Summary:
VASP energy	-110.0	eV per cell
mass density	5.4	Mg/m³
spin magnetization	0.00	μB per atom